# 1
# PBE Nb3Fe8Tc, relaxed
# E_tot ... -9.1297 eV per atom
# N(E_F) ... 48.136 states/eV/cell
# Theoretical density ... 8.78 Mg/m³
data_Nb3Fe8Tc
_cell_length_a 4.7944
_cell_length_b 4.7944
_cell_length_c 23.4689
_cell_angle_alpha 90.00
_cell_angle_beta 90.00
_cell_angle_gamma 120.00
_symmetry_space_group_name_H-M 'R 3 m'
_symmetry_Int_Tables_number 160
_symmetry_space_group_name_Hall 'R 3 -2"'
loop_
_atom_site_label
_atom_site_type_symbol
_atom_site_fract_x
_atom_site_fract_y
_atom_site_fract_z
_atom_site_occupancy
Nb1 Nb 0.0000 0.0000 0.0000 1
Nb2 Nb 0.0000 0.0000 0.1279 1
Nb3 Nb 0.0000 0.0000 0.6178 1
Fe1 Fe 0.0000 0.0000 0.3108 1
Fe2 Fe 0.0000 0.0000 0.8112 1
Fe3 Fe 0.9995 0.4998 0.0606 1
Fe4 Fe 0.0025 0.5013 0.5614 1
Tc1 Tc 0.0000 0.0000 0.4965 1

# 2
# PBE Ti5Nb2Fe2Tc, relaxed
# E_tot ... -8.8432 eV per atom
# N(E_F) ... 21.732 states/eV/cell
# Theoretical density ... 6.71 Mg/m³
data_Ti5Nb2Fe2Tc
_cell_length_a 10.108
_cell_length_b 10.108
_cell_length_c 3.074
_cell_angle_alpha 90.00
_cell_angle_beta 90.00
_cell_angle_gamma 90.00
_symmetry_space_group_name_H-M 'P 4/m b m'
_symmetry_Int_Tables_number 127
_symmetry_space_group_name_Hall '-P 4 2ab'
loop_
_atom_site_label
_atom_site_type_symbol
_atom_site_fract_x
_atom_site_fract_y
_atom_site_fract_z
_atom_site_occupancy
Ti1 Ti 0.000 0.500 0.000 1
Ti2 Ti 0.055 0.203 0.000 1
Nb1 Nb 0.180 0.680 0.500 1
Fe1 Fe 0.129 0.371 0.500 1
Tc1 Tc 0.000 0.000 0.500 1

# 3
# PBE TmNbFeTc, relaxed
# E_tot ... -8.3797 eV per atom
# N(E_F) ... 14.162 states/eV/cell
# Theoretical density ... 10.34 Mg/m³
data_TmNbFeTc
_cell_length_a 6.439
_cell_length_b 6.439
_cell_length_c 6.439
_cell_angle_alpha 90.00
_cell_angle_beta 90.00
_cell_angle_gamma 90.00
_symmetry_space_group_name_H-M 'F -4 3 m'
_symmetry_Int_Tables_number 216
_symmetry_space_group_name_Hall 'F -4 2 3'
loop_
_atom_site_label
_atom_site_type_symbol
_atom_site_fract_x
_atom_site_fract_y
_atom_site_fract_z
_atom_site_occupancy
Tm1 Tm 0.000 0.000 0.000 1
Nb1 Nb 0.000 0.000 0.500 1
Fe1 Fe 0.250 0.250 0.250 1
Tc1 Tc 0.250 0.250 0.750 1

# 4
# PBE NbFeTe, relaxed
# N(E_F) ... 1.909 states/eV/cell
# Formation energy without anion corrections ... 0.2976 eV/atom
# Theoretical density ... 7.94 Mg/m³
data_NbFeTe
_cell_length_a 3.682
_cell_length_b 4.119
_cell_length_c 4.133
_cell_angle_alpha 102.72
_cell_angle_beta 101.83
_cell_angle_gamma 101.71
_symmetry_space_group_name_H-M 'P 1'
_symmetry_Int_Tables_number 1
loop_
_symmetry_equiv_pos_as_xyz
'x,y,z'
loop_
_atom_site_label
_atom_site_type_symbol
_atom_site_fract_x
_atom_site_fract_y
_atom_site_fract_z
_atom_site_occupancy
Nb1 Nb 0.000 0.000 0.000 1
Fe1 Fe 0.499 0.249 0.751 1
Te1 Te 0.501 0.652 0.348 1

# 5
# PBE NbFeTe2, relaxed
# N(E_F) ... 10.070 states/eV/cell
# Formation energy without anion corrections ... -0.3358 eV/atom
# Theoretical density ... 6.86 Mg/m³
data_NbFeTe2
_cell_length_a 7.992
_cell_length_b 7.709
_cell_length_c 6.345
_cell_angle_alpha 90.00
_cell_angle_beta 90.00
_cell_angle_gamma 90.00
_symmetry_space_group_name_H-M 'P m n a'
_symmetry_Int_Tables_number 53
loop_
_symmetry_equiv_pos_as_xyz
'x,y,z'
'-x,-y,-z'
'-x+1/2,-y,z+1/2'
'x+1/2,y,-z+1/2'
'x,-y,-z'
'-x,y,z'
'-x+1/2,y,-z+1/2'
'x+1/2,-y,z+1/2'
loop_
_atom_site_label
_atom_site_type_symbol
_atom_site_fract_x
_atom_site_fract_y
_atom_site_fract_z
_atom_site_occupancy
Nb1 Nb 0.204 0.000 0.000 1
Fe1 Fe 0.000 0.107 0.359 1
Te1 Te 0.000 0.220 0.752 1
Te2 Te 0.250 0.305 0.250 1

# 6
# PBE NbFeTe3, relaxed
# N(E_F) ... 7.352 states/eV/cell
# Distance to the lowest polymorph of the same formula ... 1051 meV/atom
# Formation energy without anion corrections ... 0.8260 eV/atom
# Theoretical density ... 7.42 Mg/m³
data_NbFeTe3
_cell_length_a 4.919
_cell_length_b 4.919
_cell_length_c 4.919
_cell_angle_alpha 90.00
_cell_angle_beta 90.00
_cell_angle_gamma 90.00
_symmetry_space_group_name_H-M 'P m -3 m'
_symmetry_Int_Tables_number 221
_symmetry_space_group_name_Hall '-P 4 2 3'
loop_
_atom_site_label
_atom_site_type_symbol
_atom_site_fract_x
_atom_site_fract_y
_atom_site_fract_z
_atom_site_occupancy
Nb1 Nb 0.000 0.000 0.000 1
Fe1 Fe 0.500 0.500 0.500 1
Te1 Te 0.000 0.500 0.500 1

# 7
# PBE NbFeTe2, relaxed
# N(E_F) ... 10.349 states/eV/cell
# Formation energy without anion corrections ... 0.2970 eV/atom
# Theoretical density ... 8.98 Mg/m³
data_NbFeTe2
_cell_length_a 6.684
_cell_length_b 6.684
_cell_length_c 6.684
_cell_angle_alpha 90.00
_cell_angle_beta 90.00
_cell_angle_gamma 90.00
_symmetry_space_group_name_H-M 'F m -3 m'
_symmetry_Int_Tables_number 225
_symmetry_space_group_name_Hall '-F 4 2 3'
loop_
_atom_site_label
_atom_site_type_symbol
_atom_site_fract_x
_atom_site_fract_y
_atom_site_fract_z
_atom_site_occupancy
Nb1 Nb 0.000 0.000 0.000 1
Fe1 Fe 0.000 0.000 0.500 1
Te1 Te 0.250 0.250 0.250 1

# 8
# PBE NbFeTe2, relaxed
# N(E_F) ... 32.320 states/eV/cell
# Formation energy without anion corrections ... 0.4042 eV/atom
# Theoretical density ... 5.78 Mg/m³
data_NbFeTe2
_cell_length_a 6.078
_cell_length_b 6.078
_cell_length_c 12.567
_cell_angle_alpha 90.00
_cell_angle_beta 90.00
_cell_angle_gamma 90.00
_symmetry_space_group_name_H-M 'I -4 2 d'
_symmetry_Int_Tables_number 122
_symmetry_space_group_name_Hall 'I -4 2bw'
loop_
_atom_site_label
_atom_site_type_symbol
_atom_site_fract_x
_atom_site_fract_y
_atom_site_fract_z
_atom_site_occupancy
Nb1 Nb 0.000 0.000 0.000 1
Fe1 Fe 0.000 0.000 0.500 1
Te1 Te 0.226 0.250 0.625 1

# 9
# PBE NbFeTe3, relaxed
# N(E_F) ... 15.147 states/eV/cell
# Distance to the lowest polymorph of the same formula ... 996 meV/atom
# Formation energy without anion corrections ... 0.7712 eV/atom
# Theoretical density ... 5.57 Mg/m³
data_NbFeTe3
_cell_length_a 5.411
_cell_length_b 5.411
_cell_length_c 5.411
_cell_angle_alpha 90.00
_cell_angle_beta 90.00
_cell_angle_gamma 90.00
_symmetry_space_group_name_H-M 'P m -3 m'
_symmetry_Int_Tables_number 221
_symmetry_space_group_name_Hall '-P 4 2 3'
loop_
_atom_site_label
_atom_site_type_symbol
_atom_site_fract_x
_atom_site_fract_y
_atom_site_fract_z
_atom_site_occupancy
Nb1 Nb 0.000 0.000 0.000 1
Fe1 Fe 0.500 0.500 0.500 1
Te1 Te 0.000 0.000 0.500 1

# 10
# PBE NbFeTe, relaxed
# N(E_F) ... 3.722 states/eV/cell
# Formation energy without anion corrections ... 0.1562 eV/atom
# Theoretical density ... 7.89 Mg/m³
data_NbFeTe
_cell_length_a 6.484
_cell_length_b 3.746
_cell_length_c 5.257
_cell_angle_alpha 90.00
_cell_angle_beta 114.28
_cell_angle_gamma 90.00
_symmetry_space_group_name_H-M 'C 1 m 1'
_symmetry_Int_Tables_number 8
loop_
_symmetry_equiv_pos_as_xyz
'x,y,z'
'x,-y,z'
'x+1/2,y+1/2,z'
'x+1/2,-y+1/2,z'
loop_
_atom_site_label
_atom_site_type_symbol
_atom_site_fract_x
_atom_site_fract_y
_atom_site_fract_z
_atom_site_occupancy
Nb1 Nb 0.000 0.000 0.000 1
Fe1 Fe 0.258 0.500 0.278 1
Te1 Te 0.197 0.000 0.593 1

# 11
# PBE Nb3FeTe, relaxed
# N(E_F) ... 11.442 states/eV/cell
# Distance to the lowest polymorph of the same formula ... 1423 meV/atom
# Formation energy without anion corrections ... 1.9883 eV/atom
# Theoretical density ... 6.22 Mg/m³
data_Nb3FeTe
_cell_length_a 4.978
_cell_length_b 4.978
_cell_length_c 4.978
_cell_angle_alpha 90.00
_cell_angle_beta 90.00
_cell_angle_gamma 90.00
_symmetry_space_group_name_H-M 'P m -3 m'
_symmetry_Int_Tables_number 221
_symmetry_space_group_name_Hall '-P 4 2 3'
loop_
_atom_site_label
_atom_site_type_symbol
_atom_site_fract_x
_atom_site_fract_y
_atom_site_fract_z
_atom_site_occupancy
Nb1 Nb 0.000 0.000 0.500 1
Fe1 Fe 0.500 0.500 0.500 1
Te1 Te 0.000 0.000 0.000 1

# 12
# PBE NbFeTe, relaxed
# N(E_F) ... 3.412 states/eV/cell
# Formation energy without anion corrections ... 0.1934 eV/atom
# Theoretical density ... 7.93 Mg/m³
data_NbFeTe
_cell_length_a 3.4942
_cell_length_b 3.4942
_cell_length_c 10.9546
_cell_angle_alpha 90.00
_cell_angle_beta 90.00
_cell_angle_gamma 120.00
_symmetry_space_group_name_H-M 'P -6 m 2'
_symmetry_Int_Tables_number 187
_symmetry_space_group_name_Hall 'P -6 2'
loop_
_atom_site_label
_atom_site_type_symbol
_atom_site_fract_x
_atom_site_fract_y
_atom_site_fract_z
_atom_site_occupancy
Nb1 Nb 0.0000 0.0000 0.1388 1
Fe1 Fe 0.0000 0.0000 0.5000 1
Fe2 Fe 0.6667 0.3333 0.0000 1
Te1 Te 0.6667 0.3333 0.3314 1

# 13
# PBE NbFeTe3, relaxed
# N(E_F) ... 12.127 states/eV/cell
# Distance to the lowest polymorph of the same formula ... 43 meV/atom
# Formation energy without anion corrections ... -0.1820 eV/atom
# Theoretical density ... 6.88 Mg/m³
data_NbFeTe3
_cell_length_a 13.053
_cell_length_b 3.618
_cell_length_c 10.899
_cell_angle_alpha 90.00
_cell_angle_beta 94.27
_cell_angle_gamma 90.00
_symmetry_space_group_name_H-M 'C 1 2/m 1'
_symmetry_Int_Tables_number 12
loop_
_symmetry_equiv_pos_as_xyz
'x,y,z'
'-x,-y,-z'
'-x,y,-z'
'x,-y,z'
'x+1/2,y+1/2,z'
'-x+1/2,-y+1/2,-z'
'-x+1/2,y+1/2,-z'
'x+1/2,-y+1/2,z'
loop_
_atom_site_label
_atom_site_type_symbol
_atom_site_fract_x
_atom_site_fract_y
_atom_site_fract_z
_atom_site_occupancy
Nb1 Nb 0.014 0.000 0.365 1
Fe1 Fe 0.218 0.000 0.279 1
Te1 Te 0.083 0.500 0.185 1
Te2 Te 0.130 0.500 0.525 1
Te3 Te 0.161 0.000 0.820 1

# 14
# PBE Nb3FeTe, relaxed
# N(E_F) ... 7.630 states/eV/cell
# Distance to the lowest polymorph of the same formula ... 0 meV/atom
# Formation energy without anion corrections ... 0.5658 eV/atom
# Theoretical density ... 7.61 Mg/m³
data_Nb3FeTe
_cell_length_a 4.654
_cell_length_b 4.654
_cell_length_c 4.654
_cell_angle_alpha 90.00
_cell_angle_beta 90.00
_cell_angle_gamma 90.00
_symmetry_space_group_name_H-M 'P m -3 m'
_symmetry_Int_Tables_number 221
_symmetry_space_group_name_Hall '-P 4 2 3'
loop_
_atom_site_label
_atom_site_type_symbol
_atom_site_fract_x
_atom_site_fract_y
_atom_site_fract_z
_atom_site_occupancy
Nb1 Nb 0.000 0.000 0.500 1
Fe1 Fe 0.000 0.000 0.000 1
Te1 Te 0.500 0.500 0.500 1

# 15
# PBE NbFeTe, relaxed
# N(E_F) ... 2.230 states/eV/cell
# Formation energy without anion corrections ... 0.2126 eV/atom
# Theoretical density ... 7.96 Mg/m³
data_NbFeTe
_cell_length_a 3.136
_cell_length_b 3.236
_cell_length_c 5.679
_cell_angle_alpha 90.00
_cell_angle_beta 90.00
_cell_angle_gamma 90.00
_symmetry_space_group_name_H-M 'P m m 2'
_symmetry_Int_Tables_number 25
loop_
_symmetry_equiv_pos_as_xyz
'x,y,z'
'-x,-y,z'
'-x,y,z'
'x,-y,z'
loop_
_atom_site_label
_atom_site_type_symbol
_atom_site_fract_x
_atom_site_fract_y
_atom_site_fract_z
_atom_site_occupancy
Nb1 Nb 0.000 0.000 0.000 1
Fe1 Fe 0.500 0.500 0.226 1
Te1 Te 0.000 0.500 0.589 1

# 16
# PBE NbFe3Te, relaxed
# N(E_F) ... 10.555 states/eV/cell
# Distance to the lowest polymorph of the same formula ... 18 meV/atom
# Formation energy without anion corrections ... 1.3644 eV/atom
# Theoretical density ... 6.56 Mg/m³
data_NbFe3Te
_cell_length_a 4.614
_cell_length_b 4.614
_cell_length_c 4.614
_cell_angle_alpha 90.00
_cell_angle_beta 90.00
_cell_angle_gamma 90.00
_symmetry_space_group_name_H-M 'P m -3 m'
_symmetry_Int_Tables_number 221
_symmetry_space_group_name_Hall '-P 4 2 3'
loop_
_atom_site_label
_atom_site_type_symbol
_atom_site_fract_x
_atom_site_fract_y
_atom_site_fract_z
_atom_site_occupancy
Nb1 Nb 0.000 0.000 0.000 1
Fe1 Fe 0.000 0.000 0.500 1
Te1 Te 0.500 0.500 0.500 1

# 17
# PBE NbFeTe, relaxed
# N(E_F) ... 2.116 states/eV/cell
# Formation energy without anion corrections ... 0.2784 eV/atom
# Theoretical density ... 7.75 Mg/m³
data_NbFeTe
_cell_length_a 3.263
_cell_length_b 3.263
_cell_length_c 5.559
_cell_angle_alpha 90.00
_cell_angle_beta 90.00
_cell_angle_gamma 90.00
_symmetry_space_group_name_H-M 'P 4 m m'
_symmetry_Int_Tables_number 99
loop_
_symmetry_equiv_pos_as_xyz
'x,y,z'
'-y,x,z'
'-x,-y,z'
'y,-x,z'
'-x,y,z'
'y,x,z'
'x,-y,z'
'-y,-x,z'
loop_
_atom_site_label
_atom_site_type_symbol
_atom_site_fract_x
_atom_site_fract_y
_atom_site_fract_z
_atom_site_occupancy
Nb1 Nb 0.000 0.000 0.000 1
Fe1 Fe 0.500 0.500 0.205 1
Te1 Te 0.500 0.500 0.670 1

# 18
# PBE NbFeTe, relaxed
# N(E_F) ... 14.994 states/eV/cell
# Formation energy without anion corrections ... 0.1728 eV/atom
# Theoretical density ... 8.62 Mg/m³
data_NbFeTe
_cell_length_a 4.850
_cell_length_b 4.864
_cell_length_c 9.026
_cell_angle_alpha 90.00
_cell_angle_beta 90.00
_cell_angle_gamma 90.00
_symmetry_space_group_name_H-M 'F m m 2'
_symmetry_Int_Tables_number 42
_symmetry_space_group_name_Hall 'F 2 -2'
loop_
_atom_site_label
_atom_site_type_symbol
_atom_site_fract_x
_atom_site_fract_y
_atom_site_fract_z
_atom_site_occupancy
Nb1 Nb 0.000 0.000 0.000 1
Fe1 Fe 0.000 0.000 0.348 1
Te1 Te 0.000 0.000 0.679 1

# 19
# PBE NbFe3Te, relaxed
# N(E_F) ... 3.584 states/eV/cell
# Distance to the lowest polymorph of the same formula ... 0 meV/atom
# Formation energy without anion corrections ... 1.3465 eV/atom
# Theoretical density ... 6.65 Mg/m³
data_NbFe3Te
_cell_length_a 4.593
_cell_length_b 4.593
_cell_length_c 4.593
_cell_angle_alpha 90.00
_cell_angle_beta 90.00
_cell_angle_gamma 90.00
_symmetry_space_group_name_H-M 'P m -3 m'
_symmetry_Int_Tables_number 221
_symmetry_space_group_name_Hall '-P 4 2 3'
loop_
_atom_site_label
_atom_site_type_symbol
_atom_site_fract_x
_atom_site_fract_y
_atom_site_fract_z
_atom_site_occupancy
Nb1 Nb 0.000 0.000 0.000 1
Fe1 Fe 0.000 0.500 0.500 1
Te1 Te 0.500 0.500 0.500 1

# 20
# PBE NbFeTe2, relaxed
# N(E_F) ... 12.526 states/eV/cell
# Formation energy without anion corrections ... 0.1497 eV/atom
# Theoretical density ... 8.05 Mg/m³
data_NbFeTe2
_cell_length_a 3.5123
_cell_length_b 3.5123
_cell_length_c 23.3945
_cell_angle_alpha 90.00
_cell_angle_beta 90.00
_cell_angle_gamma 120.00
_symmetry_space_group_name_H-M 'R -3 m'
_symmetry_Int_Tables_number 166
_symmetry_space_group_name_Hall '-R 3 2"'
loop_
_atom_site_label
_atom_site_type_symbol
_atom_site_fract_x
_atom_site_fract_y
_atom_site_fract_z
_atom_site_occupancy
Nb1 Nb 0.0000 0.0000 0.0000 1
Fe1 Fe 0.0000 0.0000 0.5000 1
Te1 Te 0.0000 0.0000 0.2469 1

Listing magnetization for the structures above in their given order: 36.10, 0.00, 1.31, 0.75, 7.16, 0.00, 0.00, 17.71, 4.04, 2.30, 1.49, 3.61, 11.08, 0.00, 0.98, 5.26, 0.59, 10.19, 4.14, 8.85 μB per cell.